DFT (PBE-GGA) results for a geometry-optimized Np2Mn2SiP2 structure.

Calculated values
Formation energy from raw total energies   0.036 eV/atom
Energy   -60.21 eV/cell
Space group   I4/mmm

CIF file:
```
data_Np2Mn2SiP2
_cell_length_a 7.6980
_cell_length_b 7.6980
_cell_length_c 7.6980
_cell_angle_alpha 148.98
_cell_angle_beta 148.98
_cell_angle_gamma 44.44
_symmetry_space_group_name_H-M 'P 1'
_symmetry_Int_Tables_number 1
_symmetry_space_group_name_Hall 'P 1'
loop_
_atom_site_label
_atom_site_type_symbol
_atom_site_fract_x
_atom_site_fract_y
_atom_site_fract_z
Np1 Np 0.1861 0.1861 0.0000
Np2 Np 0.8139 0.8139 0.0000
Mn1 Mn 0.0000 0.5000 0.5000
Mn2 Mn 0.5000 0.0000 0.5000
Si1 Si 0.0000 0.0000 0.0000
P1 P 0.3891 0.3891 0.0000
P2 P 0.6109 0.6109 0.0000
```



DFT (PBE-GGA) results for a geometry-optimized NpPaMn structure.

Calculated values
Polymorph energy (0 for the lowest one)   0 meV per atom
E_form   0.1169 eV/atom
Energy   -62.51 eV/cell
Space group   P2_1/m

CIF file:
```
data_NpPaMn
_cell_length_a 3.5858
_cell_length_b 4.8946
_cell_length_c 6.2704
_cell_angle_alpha 90.00
_cell_angle_beta 100.32
_cell_angle_gamma 90.00
_symmetry_space_group_name_H-M 'P 1'
_symmetry_Int_Tables_number 1
_symmetry_space_group_name_Hall 'P 1'
loop_
_atom_site_label
_atom_site_type_symbol
_atom_site_fract_x
_atom_site_fract_y
_atom_site_fract_z
Np1 Np 0.0914 0.2500 0.2403
Np2 Np 0.9086 0.7500 0.7597
Pa1 Pa 0.2658 0.2500 0.8355
Pa2 Pa 0.7342 0.7500 0.1645
Mn1 Mn 0.3586 0.7500 0.5080
Mn2 Mn 0.6414 0.2500 0.4920
```



DFT (PBE-GGA) results for a geometry-optimized NpPaMn structure.

Calculated values
Polymorph energy (0 for the lowest one)   98 meV per atom
E_form   0.2144 eV/atom
Energy   -30.96 eV/cell
Space group   P3m1

CIF file:
```
data_NpPaMn
_cell_length_a 4.6595
_cell_length_b 4.6595
_cell_length_c 3.0238
_cell_angle_alpha 90.00
_cell_angle_beta 90.00
_cell_angle_gamma 120.00
_symmetry_space_group_name_H-M 'P 1'
_symmetry_Int_Tables_number 1
_symmetry_space_group_name_Hall 'P 1'
loop_
_atom_site_label
_atom_site_type_symbol
_atom_site_fract_x
_atom_site_fract_y
_atom_site_fract_z
Np1 Np 0.0000 0.0000 0.0000
Pa1 Pa 0.3333 0.6667 0.6978
Mn1 Mn 0.6667 0.3333 0.3052
```



DFT (PBE-GGA) results for a geometry-optimized NpPaMn structure.

Calculated values
Polymorph energy (0 for the lowest one)   33 meV per atom
E_form   0.1494 eV/atom
Energy   -31.16 eV/cell
Space group   I4mm

CIF file:
```
data_NpPaMn
_cell_length_a 5.2552
_cell_length_b 5.2552
_cell_length_c 5.2552
_cell_angle_alpha 141.07
_cell_angle_beta 141.07
_cell_angle_gamma 56.24
_symmetry_space_group_name_H-M 'P 1'
_symmetry_Int_Tables_number 1
_symmetry_space_group_name_Hall 'P 1'
loop_
_atom_site_label
_atom_site_type_symbol
_atom_site_fract_x
_atom_site_fract_y
_atom_site_fract_z
Np1 Np 0.0000 0.0000 0.0000
Pa1 Pa 0.6832 0.6832 0.0000
Mn1 Mn 0.3471 0.3471 0.0000
```



DFT (PBE-GGA) results for a geometry-optimized NpPaMnRe structure.

Calculated values
E_form   0.2302 eV/atom
Energy   -43.13 eV/cell
Space group   F-43m

CIF file:
```
data_NpPaMnRe
_cell_length_a 4.7866
_cell_length_b 4.7866
_cell_length_c 4.7866
_cell_angle_alpha 60.00
_cell_angle_beta 60.00
_cell_angle_gamma 60.00
_symmetry_space_group_name_H-M 'P 1'
_symmetry_Int_Tables_number 1
_symmetry_space_group_name_Hall 'P 1'
loop_
_atom_site_label
_atom_site_type_symbol
_atom_site_fract_x
_atom_site_fract_y
_atom_site_fract_z
Np1 Np 0.0000 0.0000 0.0000
Pa1 Pa 0.5000 0.5000 0.5000
Mn1 Mn 0.7500 0.7500 0.7500
Re1 Re 0.2500 0.2500 0.2500
```



DFT (PBE-GGA) results for a geometry-optimized NpPaMn2S8 structure.

Calculated values
Formation energy from raw total energies   -0.862 eV/atom
Energy   -84.14 eV/cell
Space group   I-4

CIF file:
```
data_NpPaMn2S8
_cell_length_a 7.7674
_cell_length_b 7.7674
_cell_length_c 7.7674
_cell_angle_alpha 132.16
_cell_angle_beta 132.16
_cell_angle_gamma 69.98
_symmetry_space_group_name_H-M 'P 1'
_symmetry_Int_Tables_number 1
_symmetry_space_group_name_Hall 'P 1'
loop_
_atom_site_label
_atom_site_type_symbol
_atom_site_fract_x
_atom_site_fract_y
_atom_site_fract_z
Np1 Np 0.0000 0.0000 0.0000
Pa1 Pa 0.2500 0.7500 0.5000
Mn1 Mn 0.5000 0.5000 0.0000
Mn2 Mn 0.7500 0.2500 0.5000
S1 S 0.0049 0.0589 0.3986
S2 S 0.2462 0.6947 0.1029
S3 S 0.3053 0.4082 0.5515
S4 S 0.3937 0.9951 0.0540
S5 S 0.5918 0.1432 0.8971
S6 S 0.6603 0.6063 0.6014
S7 S 0.8568 0.7538 0.4485
S8 S 0.9411 0.3397 0.9460
```



DFT (PBE-GGA) results for a geometry-optimized NpPaMn2Se8 structure.

Calculated values
Formation energy from raw total energies   -0.701 eV/atom
Energy   -77.06 eV/cell
Space group   I-4

CIF file:
```
data_NpPaMn2Se8
_cell_length_a 8.1354
_cell_length_b 8.1354
_cell_length_c 8.1354
_cell_angle_alpha 131.38
_cell_angle_beta 131.38
_cell_angle_gamma 71.22
_symmetry_space_group_name_H-M 'P 1'
_symmetry_Int_Tables_number 1
_symmetry_space_group_name_Hall 'P 1'
loop_
_atom_site_label
_atom_site_type_symbol
_atom_site_fract_x
_atom_site_fract_y
_atom_site_fract_z
Np1 Np 0.0000 0.0000 0.0000
Pa1 Pa 0.2500 0.7500 0.5000
Mn1 Mn 0.5000 0.5000 0.0000
Mn2 Mn 0.7500 0.2500 0.5000
Se1 Se 0.0138 0.0632 0.4075
Se2 Se 0.2378 0.6888 0.0952
Se3 Se 0.3112 0.4064 0.5490
Se4 Se 0.3938 0.9862 0.0494
Se5 Se 0.5936 0.1426 0.9048
Se6 Se 0.6557 0.6062 0.5925
Se7 Se 0.8574 0.7622 0.4510
Se8 Se 0.9368 0.3443 0.9506
```



DFT (PBE-GGA) results for a geometry-optimized NpPaMnTc structure.

Calculated values
E_form   0.1406 eV/atom
Energy   -41.41 eV/cell
Space group   F-43m

CIF file:
```
data_NpPaMnTc
_cell_length_a 4.7631
_cell_length_b 4.7631
_cell_length_c 4.7631
_cell_angle_alpha 60.00
_cell_angle_beta 60.00
_cell_angle_gamma 60.00
_symmetry_space_group_name_H-M 'P 1'
_symmetry_Int_Tables_number 1
_symmetry_space_group_name_Hall 'P 1'
loop_
_atom_site_label
_atom_site_type_symbol
_atom_site_fract_x
_atom_site_fract_y
_atom_site_fract_z
Np1 Np 0.0000 0.0000 0.0000
Pa1 Pa 0.5000 0.5000 0.5000
Mn1 Mn 0.7500 0.7500 0.7500
Tc1 Tc 0.2500 0.2500 0.2500
```



DFT (PBE-GGA) results for a geometry-optimized NpMn4PbS8 structure.

Calculated values
Formation energy from raw total energies   -0.598 eV/atom
Energy   -94.72 eV/cell
Space group   R3m

CIF file:
```
data_NpMn4PbS8
_cell_length_a 7.6927
_cell_length_b 7.6927
_cell_length_c 7.6927
_cell_angle_alpha 58.25
_cell_angle_beta 58.25
_cell_angle_gamma 58.25
_symmetry_space_group_name_H-M 'P 1'
_symmetry_Int_Tables_number 1
_symmetry_space_group_name_Hall 'P 1'
loop_
_atom_site_label
_atom_site_type_symbol
_atom_site_fract_x
_atom_site_fract_y
_atom_site_fract_z
Np1 Np 0.0000 0.0000 0.0000
Mn1 Mn 0.0013 0.0013 0.4939
Mn2 Mn 0.0013 0.4939 0.0013
Mn3 Mn 0.3671 0.3671 0.3671
Mn4 Mn 0.4939 0.0013 0.0013
Pb1 Pb 0.6342 0.6342 0.6342
S1 S 0.2068 0.7491 0.7491
S2 S 0.2363 0.2363 0.2363
S3 S 0.2498 0.2498 0.7627
S4 S 0.2498 0.7627 0.2498
S5 S 0.7491 0.2068 0.7491
S6 S 0.7491 0.7491 0.2068
S7 S 0.7627 0.2498 0.2498
S8 S 0.7761 0.7761 0.7761
```



DFT (PBE-GGA) results for a geometry-optimized NpMnPb2S5 structure.

Calculated values
Formation energy from raw total energies   -0.771 eV/atom
Energy   -114.21 eV/cell
Space group   Cmc2_1

CIF file:
```
data_NpMnPb2S5
_cell_length_a 8.7572
_cell_length_b 8.7572
_cell_length_c 12.9097
_cell_angle_alpha 90.00
_cell_angle_beta 90.00
_cell_angle_gamma 153.41
_symmetry_space_group_name_H-M 'P 1'
_symmetry_Int_Tables_number 1
_symmetry_space_group_name_Hall 'P 1'
loop_
_atom_site_label
_atom_site_type_symbol
_atom_site_fract_x
_atom_site_fract_y
_atom_site_fract_z
Np1 Np 0.2081 0.7919 0.5000
Np2 Np 0.7919 0.2081 0.0000
Mn1 Mn 0.4431 0.5569 0.9042
Mn2 Mn 0.5569 0.4431 0.4042
Pb1 Pb 0.0992 0.9008 0.1268
Pb2 Pb 0.1223 0.8777 0.7851
Pb3 Pb 0.8777 0.1223 0.2851
Pb4 Pb 0.9008 0.0992 0.6268
S1 S 0.0500 0.9500 0.5052
S2 S 0.2821 0.7179 0.1388
S3 S 0.3078 0.6922 0.8616
S4 S 0.3645 0.6355 0.4717
S5 S 0.4958 0.5042 0.2433
S6 S 0.5042 0.4958 0.7433
S7 S 0.6355 0.3645 0.9717
S8 S 0.6922 0.3078 0.3616
S9 S 0.7179 0.2821 0.6388
S10 S 0.9500 0.0500 0.0052
```



DFT (PBE-GGA) results for a geometry-optimized NpMn2Pd structure.

Calculated values
E_form   0.1169 eV/atom
Energy   -36.01 eV/cell
Space group   P4/mmm

CIF file:
```
data_NpMn2Pd
_cell_length_a 3.2834
_cell_length_b 3.2834
_cell_length_c 5.8314
_cell_angle_alpha 90.00
_cell_angle_beta 90.00
_cell_angle_gamma 90.00
_symmetry_space_group_name_H-M 'P 1'
_symmetry_Int_Tables_number 1
_symmetry_space_group_name_Hall 'P 1'
loop_
_atom_site_label
_atom_site_type_symbol
_atom_site_fract_x
_atom_site_fract_y
_atom_site_fract_z
Np1 Np 0.0000 0.0000 0.0000
Mn1 Mn 0.5000 0.5000 0.2399
Mn2 Mn 0.5000 0.5000 0.7601
Pd1 Pd 0.0000 0.0000 0.5000
```



DFT (PBE-GGA) results for a geometry-optimized NpMnPd structure.

Calculated values
Polymorph energy (0 for the lowest one)   167 meV per atom
E_form   0.2103 eV/atom
Energy   -26.67 eV/cell
Space group   I4mm

CIF file:
```
data_NpMnPd
_cell_length_a 6.7104
_cell_length_b 6.7104
_cell_length_c 6.7104
_cell_angle_alpha 156.35
_cell_angle_beta 156.35
_cell_angle_gamma 33.69
_symmetry_space_group_name_H-M 'P 1'
_symmetry_Int_Tables_number 1
_symmetry_space_group_name_Hall 'P 1'
loop_
_atom_site_label
_atom_site_type_symbol
_atom_site_fract_x
_atom_site_fract_y
_atom_site_fract_z
Np1 Np 0.0000 0.0000 0.0000
Mn1 Mn 0.6682 0.6682 0.0000
Pd1 Pd 0.3115 0.3115 0.0000
```



DFT (PBE-GGA) results for a geometry-optimized NpMnPd6 structure.

Calculated values
E_form   -0.3405 eV/atom
Energy   -55.99 eV/cell
Space group   P4/mmm

CIF file:
```
data_NpMnPd6
_cell_length_a 4.0584
_cell_length_b 4.0584
_cell_length_c 7.9598
_cell_angle_alpha 90.00
_cell_angle_beta 90.00
_cell_angle_gamma 90.00
_symmetry_space_group_name_H-M 'P 1'
_symmetry_Int_Tables_number 1
_symmetry_space_group_name_Hall 'P 1'
loop_
_atom_site_label
_atom_site_type_symbol
_atom_site_fract_x
_atom_site_fract_y
_atom_site_fract_z
Np1 Np 0.0000 0.0000 0.0000
Mn1 Mn 0.0000 0.0000 0.5000
Pd1 Pd 0.0000 0.5000 0.2568
Pd2 Pd 0.0000 0.5000 0.7432
Pd3 Pd 0.5000 0.0000 0.2568
Pd4 Pd 0.5000 0.0000 0.7432
Pd5 Pd 0.5000 0.5000 0.0000
Pd6 Pd 0.5000 0.5000 0.5000
```



DFT (PBE-GGA) results for a geometry-optimized NpMnPd2 structure.

Calculated values
Polymorph energy (0 for the lowest one)   0 meV per atom
E_form   -0.1164 eV/atom
Energy   -32.96 eV/cell
Space group   P4/mmm

CIF file:
```
data_NpMnPd2
_cell_length_a 3.0296
_cell_length_b 3.0296
_cell_length_c 7.6456
_cell_angle_alpha 90.00
_cell_angle_beta 90.00
_cell_angle_gamma 90.00
_symmetry_space_group_name_H-M 'P 1'
_symmetry_Int_Tables_number 1
_symmetry_space_group_name_Hall 'P 1'
loop_
_atom_site_label
_atom_site_type_symbol
_atom_site_fract_x
_atom_site_fract_y
_atom_site_fract_z
Np1 Np 0.0000 0.0000 0.0000
Mn1 Mn 0.0000 0.0000 0.5000
Pd1 Pd 0.5000 0.5000 0.2892
Pd2 Pd 0.5000 0.5000 0.7108
```



DFT (PBE-GGA) results for a geometry-optimized NpMnPd structure.

Calculated values
Polymorph energy (0 for the lowest one)   0 meV per atom
E_form   0.0433 eV/atom
Energy   -54.35 eV/cell
Space group   C2/m

CIF file:
```
data_NpMnPd
_cell_length_a 3.3339
_cell_length_b 3.3339
_cell_length_c 9.2757
_cell_angle_alpha 92.48
_cell_angle_beta 92.48
_cell_angle_gamma 85.32
_symmetry_space_group_name_H-M 'P 1'
_symmetry_Int_Tables_number 1
_symmetry_space_group_name_Hall 'P 1'
loop_
_atom_site_label
_atom_site_type_symbol
_atom_site_fract_x
_atom_site_fract_y
_atom_site_fract_z
Np1 Np 0.2117 0.2117 0.0673
Np2 Np 0.7883 0.7883 0.9327
Mn1 Mn 0.2421 0.2421 0.4190
Mn2 Mn 0.7579 0.7579 0.5810
Pd1 Pd 0.2799 0.2799 0.7287
Pd2 Pd 0.7201 0.7201 0.2713
```



DFT (PBE-GGA) results for a geometry-optimized NpMnPd14 structure.

Calculated values
E_form   -0.1839 eV/atom
Energy   -97.75 eV/cell
Space group   P4/mmm

CIF file:
```
data_NpMnPd14
_cell_length_a 5.6962
_cell_length_b 5.6962
_cell_length_c 7.8178
_cell_angle_alpha 90.00
_cell_angle_beta 90.00
_cell_angle_gamma 90.00
_symmetry_space_group_name_H-M 'P 1'
_symmetry_Int_Tables_number 1
_symmetry_space_group_name_Hall 'P 1'
loop_
_atom_site_label
_atom_site_type_symbol
_atom_site_fract_x
_atom_site_fract_y
_atom_site_fract_z
Np1 Np 0.0000 0.0000 0.0000
Mn1 Mn 0.5000 0.5000 0.0000
Pd1 Pd 0.0000 0.0000 0.5000
Pd2 Pd 0.0000 0.5000 0.0000
Pd3 Pd 0.0000 0.5000 0.5000
Pd4 Pd 0.2516 0.2516 0.2487
Pd5 Pd 0.2516 0.2516 0.7513
Pd6 Pd 0.2516 0.7484 0.2487
Pd7 Pd 0.2516 0.7484 0.7513
Pd8 Pd 0.5000 0.0000 0.0000
Pd9 Pd 0.5000 0.0000 0.5000
Pd10 Pd 0.5000 0.5000 0.5000
Pd11 Pd 0.7484 0.2516 0.2487
Pd12 Pd 0.7484 0.2516 0.7513
Pd13 Pd 0.7484 0.7484 0.2487
Pd14 Pd 0.7484 0.7484 0.7513
```



DFT (PBE-GGA) results for a geometry-optimized NpMn3Pd12 structure.

Calculated values
E_form   -0.2718 eV/atom
Energy   -107.11 eV/cell
Space group   P4/mmm

CIF file:
```
data_NpMn3Pd12
_cell_length_a 4.0030
_cell_length_b 4.0030
_cell_length_c 15.7495
_cell_angle_alpha 90.00
_cell_angle_beta 90.00
_cell_angle_gamma 90.00
_symmetry_space_group_name_H-M 'P 1'
_symmetry_Int_Tables_number 1
_symmetry_space_group_name_Hall 'P 1'
loop_
_atom_site_label
_atom_site_type_symbol
_atom_site_fract_x
_atom_site_fract_y
_atom_site_fract_z
Np1 Np 0.0000 0.0000 0.0000
Mn1 Mn 0.0000 0.0000 0.2601
Mn2 Mn 0.0000 0.0000 0.5000
Mn3 Mn 0.0000 0.0000 0.7399
Pd1 Pd 0.0000 0.5000 0.1326
Pd2 Pd 0.0000 0.5000 0.3790
Pd3 Pd 0.0000 0.5000 0.6210
Pd4 Pd 0.0000 0.5000 0.8674
Pd5 Pd 0.5000 0.0000 0.1326
Pd6 Pd 0.5000 0.0000 0.3790
Pd7 Pd 0.5000 0.0000 0.6210
Pd8 Pd 0.5000 0.0000 0.8674
Pd9 Pd 0.5000 0.5000 0.0000
Pd10 Pd 0.5000 0.5000 0.2565
Pd11 Pd 0.5000 0.5000 0.5000
Pd12 Pd 0.5000 0.5000 0.7435
```



DFT (PBE-GGA) results for a geometry-optimized NpMn2Pd structure.

Calculated values
E_form   -0.0189 eV/atom
Energy   -36.55 eV/cell
Space group   P4/mmm

CIF file:
```
data_NpMn2Pd
_cell_length_a 4.0953
_cell_length_b 4.0953
_cell_length_c 3.8122
_cell_angle_alpha 90.00
_cell_angle_beta 90.00
_cell_angle_gamma 90.00
_symmetry_space_group_name_H-M 'P 1'
_symmetry_Int_Tables_number 1
_symmetry_space_group_name_Hall 'P 1'
loop_
_atom_site_label
_atom_site_type_symbol
_atom_site_fract_x
_atom_site_fract_y
_atom_site_fract_z
Np1 Np 0.0000 0.0000 0.0000
Mn1 Mn 0.0000 0.5000 0.5000
Mn2 Mn 0.5000 0.0000 0.5000
Pd1 Pd 0.5000 0.5000 0.0000
```



DFT (PBE-GGA) results for a geometry-optimized NpMnPd2 structure.

Calculated values
Polymorph energy (0 for the lowest one)   210 meV per atom
E_form   0.0934 eV/atom
Energy   -32.12 eV/cell
Space group   R-3m

CIF file:
```
data_NpMnPd2
_cell_length_a 9.8197
_cell_length_b 9.8197
_cell_length_c 9.8197
_cell_angle_alpha 16.89
_cell_angle_beta 16.89
_cell_angle_gamma 16.89
_symmetry_space_group_name_H-M 'P 1'
_symmetry_Int_Tables_number 1
_symmetry_space_group_name_Hall 'P 1'
loop_
_atom_site_label
_atom_site_type_symbol
_atom_site_fract_x
_atom_site_fract_y
_atom_site_fract_z
Np1 Np 0.0000 0.0000 0.0000
Mn1 Mn 0.5000 0.5000 0.5000
Pd1 Pd 0.0936 0.0936 0.0936
Pd2 Pd 0.9064 0.9064 0.9064
```



DFT (PBE-GGA) results for a geometry-optimized PuNpMnPd structure.

Calculated values
E_form   -0.0973 eV/atom
Energy   -42.02 eV/cell
Space group   F-43m

CIF file:
```
data_PuNpMnPd
_cell_length_a 4.6425
_cell_length_b 4.6425
_cell_length_c 4.6425
_cell_angle_alpha 60.00
_cell_angle_beta 60.00
_cell_angle_gamma 60.00
_symmetry_space_group_name_H-M 'P 1'
_symmetry_Int_Tables_number 1
_symmetry_space_group_name_Hall 'P 1'
loop_
_atom_site_label
_atom_site_type_symbol
_atom_site_fract_x
_atom_site_fract_y
_atom_site_fract_z
Pu1 Pu 0.0000 0.0000 0.0000
Np1 Np 0.7500 0.7500 0.7500
Mn1 Mn 0.5000 0.5000 0.5000
Pd1 Pd 0.2500 0.2500 0.2500
```